Material: Sb2TeBrF
Method: DFT, PBE
State: optimized geometry

As for the energy above the most stable polymorph in this dataset: 0.637 eV per atom. Its total energy is -11.28 eV per cell.

The structure belongs to space group P4/mmm (No. 123); the cell edges are 5.545, 5.545 and 5.566 Å and the angles 90.00°, 90.00° and 90.00°. The inequivalent atoms are Sb at (0.000, 0.500, 0.000), Te at (0.000, 0.000, 0.500), Br at (0.000, 0.000, 0.000) and F at (0.500, 0.500, 0.500).


Material: AgIrAu2
Method: DFT, PBE
State: optimized geometry

As for the energy above the most stable polymorph in this dataset: 0.090 eV per atom. Its total energy is -17.02 eV per cell.

The structure belongs to space group Pmm2 (No. 25); the cell edges are 2.772, 4.216 and 5.821 Å and the angles 90.00°, 90.00° and 90.00°. The inequivalent atoms are Ag at (0.000, 0.000, 0.000), Ir at (0.500, 0.500, 0.750), Au at (0.000, 0.000, 0.516) and Au at (0.500, 0.500, 0.249).


Material: SmHoSnSe
Method: DFT, PBE
State: optimized geometry

Its total energy is -21.81 eV per cell.

The structure belongs to space group P4/mmm (No. 123); the cell edges are 4.278, 4.278 and 6.098 Å and the angles 90.00°, 90.00° and 90.00°. The inequivalent atoms are Sm at (0.000, 0.000, 0.000), Ho at (0.500, 0.500, 0.500), Sn at (0.000, 0.000, 0.500) and Se at (0.500, 0.500, 0.000).


Material: BeW
Method: DFT, PBE
State: optimized geometry

As for the energy above the most stable polymorph in this dataset: 0.716 eV per atom. Its total energy is -125.62 eV per cell.

The structure belongs to space group P4/m (No. 83); the cell edges are 7.188, 7.188 and 4.185 Å and the angles 90.00°, 90.00° and 90.00°. The inequivalent atoms are Be at (0.044, 0.216, 0.000), Be at (0.089, 0.789, 0.500), W at (0.189, 0.429, 0.500) and W at (0.266, 0.632, 0.000).


Material: AcCuAsO5
Method: DFT, PBE
State: optimized geometry

Its total energy is -205.80 eV per cell.

The structure belongs to space group C2/c (No. 15); the cell edges are 6.277, 9.477 and 7.068 Å and the angles 90.00°, 105.79° and 90.00°. The inequivalent atoms are Ac at (0.000, 0.160, 0.250), Cu at (0.000, 0.181, 0.750), As at (0.000, 0.500, 0.000), O at (0.000, 0.434, 0.250), O at (0.083, 0.316, 0.577) and O at (0.196, 0.050, 0.954).


Material: BeCdBIrAu
Method: DFT, PBE
State: optimized geometry

As for the energy above the most stable polymorph in this dataset: 0.091 eV per atom. Its total energy is -47.26 eV per cell.

The structure belongs to space group Imm2 (No. 44); the cell edges are 2.895, 3.434 and 14.213 Å and the angles 90.00°, 90.00° and 90.00°. The inequivalent atoms are Be at (0.000, 0.000, 0.000), Cd at (0.000, 0.000, 0.192), B at (0.000, 0.500, 0.935), Ir at (0.000, 0.000, 0.549) and Au at (0.000, 0.000, 0.832).


Material: Hf2Nb3P2
Method: DFT, PBE
State: optimized geometry

Its total energy is -133.02 eV per cell.

The structure belongs to space group C2/m (No. 12); the cell edges are 9.957, 3.571 and 7.451 Å and the angles 90.00°, 112.30° and 90.00°. The inequivalent atoms are Hf at (0.136, 0.000, 0.303), Nb at (0.000, 0.500, 0.500), Nb at (0.127, 0.500, 0.940) and P at (0.166, 0.000, 0.717).


Material: LaZnAg3
Method: DFT, PBE
State: optimized geometry

As for the energy above the most stable polymorph in this dataset: 1.143 eV per atom. Its total energy is -10.01 eV per cell.

The structure belongs to space group Pm-3m (No. 221); the cell edges are 5.889, 5.889 and 5.889 Å and the angles 90.00°, 90.00° and 90.00°. The inequivalent atoms are La at (0.000, 0.000, 0.000), Zn at (0.500, 0.500, 0.500) and Ag at (0.000, 0.000, 0.500).